Material: Sc2PtAu
Method: DFT, PBE
State: relaxed

Cell lengths 4.669, 4.669, 4.669 Å; angles 60.00, 60.00, 60.00 degrees
Fractional positions:
1 Sc 0.000 0.000 0.000
2 Sc 0.250 0.250 0.250
3 Au 0.500 0.500 0.500
4 Pt 0.750 0.750 0.750

Properties
**Formation enthalpy at 0 K**: -72.6 kJ/mol of atoms


Material: NpPaRu
Method: DFT, PBE
State: relaxed

Cell lengths 3.413, 5.377, 6.756 Å; angles 90.00, 104.61, 90.00 degrees
Fractional positions:
1 Pa 0.760 0.750 0.520
2 Pa 0.240 0.250 0.480
3 Np 0.567 0.250 0.136
4 Np 0.433 0.750 0.864
5 Ru 0.906 0.250 0.812
6 Ru 0.094 0.750 0.188

Properties
**Formation enthalpy at 0 K**: -12.8 kJ/mol of atoms


Material: CsZnGa2Sn
Method: DFT, PBE
State: relaxed

Cell lengths 5.125, 6.031, 5.125 Å; angles 90.00, 90.00, 90.00 degrees
Fractional positions:
1 Sn 0.500 0.500 0.500
2 Zn 0.000 0.000 0.000
3 Ga 0.000 0.000 0.500
4 Ga 0.500 0.000 0.000
5 Cs 0.000 0.500 0.000

Properties
**Formation enthalpy at 0 K**: 42.2 kJ/mol of atoms


Material: TcNiAuN2
Method: DFT, PBE
State: relaxed

Cell lengths 3.854, 5.493, 3.854 Å; angles 90.00, 90.00, 90.00 degrees
Fractional positions:
1 N 0.000 0.000 0.500
2 N 0.500 0.000 0.000
3 Tc 0.000 0.500 0.000
4 Au 0.000 0.000 0.000
5 Ni 0.500 0.500 0.500

Properties
**Formation energy from raw total energies**: 2.51 eV/atom


Material: Cs2Ca2Cu
Method: DFT, PBE
State: relaxed

Cell lengths 8.074, 8.074, 7.621 Å; angles 90.00, 90.00, 90.00 degrees
Fractional positions:
1 Cu 0.500 0.500 0.000
2 Cu 0.000 0.000 0.000
3 Ca 0.179 0.321 0.000
4 Ca 0.679 0.179 0.000
5 Ca 0.321 0.821 0.000
6 Ca 0.821 0.679 0.000
7 Cs 0.187 0.687 0.500
8 Cs 0.813 0.313 0.500
9 Cs 0.687 0.813 0.500
10 Cs 0.313 0.187 0.500

Properties
**Formation enthalpy at 0 K**: 27.5 kJ/mol of atoms


Material: KBa3Cl
Method: DFT, PBE
State: relaxed

Cell lengths 7.275, 7.275, 7.275 Å; angles 90.00, 90.00, 90.00 degrees
Fractional positions:
1 Cl 0.500 0.500 0.500
2 Ba 0.000 0.000 0.500
3 Ba 0.500 0.000 0.000
4 Ba 0.000 0.500 0.000
5 K 0.000 0.000 0.000

Properties
**Formation energy from raw total energies**: 0.26 eV/atom


Material: Pm3HfSn6
Method: DFT, PBE
State: relaxed

Cell lengths 7.005, 9.630, 8.477 Å; angles 90.00, 94.69, 90.00 degrees
Fractional positions:
1 Sn 0.115 0.301 0.084
2 Sn 0.798 0.713 0.549
3 Sn 0.385 0.801 0.416
4 Sn 0.266 0.164 0.802
5 Sn 0.734 0.836 0.198
6 Sn 0.766 0.336 0.302
7 Sn 0.885 0.699 0.916
8 Sn 0.298 0.787 0.049
9 Sn 0.615 0.199 0.584
10 Sn 0.234 0.664 0.698
11 Sn 0.702 0.213 0.951
12 Sn 0.202 0.287 0.451
13 Pm 0.000 0.000 0.500
14 Pm 0.552 0.909 0.777
15 Pm 0.948 0.409 0.723
16 Pm 0.052 0.591 0.277
17 Pm 0.500 0.500 0.000
18 Pm 0.448 0.091 0.223
19 Hf 0.500 0.500 0.500
20 Hf 0.000 0.000 0.000

Properties
**Formation enthalpy at 0 K**: -35.7 kJ/mol of atoms


Material: Cr2Ir
Method: DFT, PBE
State: relaxed

Cell lengths 4.771, 4.771, 4.771 Å; angles 106.07, 106.07, 116.51 degrees
Fractional positions:
1 Cr 0.632 0.868 0.500
2 Cr 0.868 0.368 0.236
3 Cr 0.132 0.632 0.764
4 Cr 0.368 0.132 0.500
5 Ir 0.750 0.750 0.000
6 Ir 0.250 0.250 0.000

Properties
**Formation enthalpy at 0 K**: 16.7 kJ/mol of atoms